Entry from the Alexandria database: a geometry-optimized PmPrNd4Dy2 structure (PBE-GGA).

```
8
Lattice="6.304 0.000 0.000 0.000 3.656 0.000 -2.134 0.000 11.903" Properties=species:S:1:pos:R:3 pbc="T T T"
Pm 0.000 0.000 0.000
Pr -1.067 1.828 5.952
Nd 1.046 1.828 2.980
Nd -0.014 0.000 8.954
Nd 4.185 0.000 2.949
Nd 3.124 1.828 8.923
Dy 2.085 0.000 5.952
Dy 3.152 1.828 0.000
```

Results
DOS at the Fermi energy, states/eV per cell: 11.9
Formation enthalpy at 0 K, eV per atom: 0.02
SG: P2/m
Crystal system: monoclinic
M_tot, μB/cell: 0.00
DFT total energy, eV/atom: -4.710


Entry from the Alexandria database: a geometry-optimized SrCaPdO3 structure (PBE-GGA).

```
12
Lattice="6.570 -1.985 0.000 6.570 1.985 0.000 -1.853 0.000 6.726" Properties=species:S:1:pos:R:3 pbc="T T T"
Sr 1.813 0.000 0.514
Sr 9.473 0.000 6.212
Ca 0.887 0.000 3.852
Ca 10.399 0.000 2.874
Pd 5.146 0.000 5.060
Pd 6.140 0.000 1.666
O -0.526 0.000 1.917
O 11.812 0.000 4.809
O 3.157 0.000 4.452
O 4.136 0.000 1.170
O 7.150 0.000 5.555
O 8.129 0.000 2.273
```

Results
ΔE_f (raw), eV/atom: -2.06
DOS at the Fermi energy, states/eV per cell: 0.2
SG: C2/m
Crystal system: monoclinic
M_tot, μB/cell: 0.00
DFT total energy, eV/atom: -6.023


Entry from the Alexandria database: a geometry-optimized Rb2RuCl5 structure (PBE-GGA).

```
32
Lattice="9.091 0.000 0.000 0.000 6.960 0.000 0.000 0.000 14.618" Properties=species:S:1:pos:R:3 pbc="T T T"
Rb 0.274 1.740 2.980
Rb 1.510 5.220 6.093
Rb 3.036 1.740 13.402
Rb 4.272 5.220 10.289
Rb 4.820 1.740 4.329
Rb 6.056 5.220 1.216
Rb 7.582 1.740 8.526
Rb 8.818 5.220 11.638
Ru 1.508 5.220 0.838
Ru 3.037 1.740 8.147
Ru 6.054 5.220 6.472
Ru 7.583 1.740 13.781
Cl 0.000 0.000 0.000
Cl 0.000 3.480 0.000
Cl 0.314 5.220 2.889
Cl 1.602 0.088 8.952
Cl 1.602 3.393 8.952
Cl 1.878 1.740 6.009
Cl 2.668 5.220 13.318
Cl 2.944 3.568 1.643
Cl 2.944 6.873 1.643
Cl 4.232 1.740 10.198
Cl 4.546 0.000 7.309
Cl 4.546 3.480 7.309
Cl 4.859 5.220 4.420
Cl 6.147 0.088 12.975
Cl 6.147 3.393 12.975
Cl 6.424 1.740 1.300
Cl 7.213 5.220 8.609
Cl 7.490 3.568 5.666
Cl 7.490 6.873 5.666
Cl 8.778 1.740 11.729
```

Results
ΔE_f (raw), eV/atom: -1.22
DOS at the Fermi energy, states/eV per cell: 22.8
SG: Pnma
Crystal system: orthorhombic
M_tot, μB/cell: 4.02
DFT total energy, eV/atom: -3.774


Entry from the Alexandria database: a geometry-optimized Rb2Sb2Te5 structure (PBE-GGA).

```
9
Lattice="7.790 -2.852 0.000 7.790 2.852 0.000 -2.488 0.000 9.349" Properties=species:S:1:pos:R:3 pbc="T T T"
Rb 0.666 0.000 3.252
Rb 12.425 0.000 6.097
Sb 4.902 0.000 0.958
Sb 8.189 0.000 8.391
Te -0.376 0.000 9.121
Te 4.745 0.000 3.660
Te 7.790 0.000 0.000
Te 8.346 0.000 5.688
Te 13.466 0.000 0.228
```

Results
ΔE_f (raw), eV/atom: -0.34
DOS at the Fermi energy, states/eV per cell: 2.2
SG: C2/m
Crystal system: monoclinic
M_tot, μB/cell: 0.00
DFT total energy, eV/atom: -3.220


Entry from the Alexandria database: a geometry-optimized SnH2Os structure (PBE-GGA).

```
4
Lattice="0.000 2.795 2.795 2.795 0.000 2.795 2.795 2.795 0.000" Properties=species:S:1:pos:R:3 pbc="T T T"
Sn 0.000 0.000 0.000
H 1.398 1.398 1.398
H 4.193 4.193 4.193
Os 2.795 2.795 2.795
```

Results
DOS at the Fermi energy, states/eV per cell: 1.5
SG: Fm-3m
Crystal system: cubic
M_tot, μB/cell: 0.00
DFT total energy, eV/atom: -4.334


Entry from the Alexandria database: a geometry-optimized Ac8NiHg2 structure (PBE-GGA).

```
11
Lattice="10.132 -2.569 0.000 10.132 2.569 0.000 -0.342 0.000 8.044" Properties=species:S:1:pos:R:3 pbc="T T T"
Ac -0.031 0.000 2.212
Ac 4.164 0.000 6.553
Ac 7.178 0.000 4.019
Ac 8.185 0.000 0.044
Ac 11.737 0.000 7.999
Ac 12.744 0.000 4.025
Ac 15.759 0.000 1.491
Ac 19.954 0.000 5.832
Ni 9.961 0.000 4.022
Hg 3.513 0.000 1.938
Hg 16.410 0.000 6.105
```

Results
DOS at the Fermi energy, states/eV per cell: 13.3
Formation enthalpy at 0 K, eV per atom: -0.16
SG: C2/m
Crystal system: monoclinic
M_tot, μB/cell: 0.00
DFT total energy, eV/atom: -3.727


Entry from the Alexandria database: a geometry-optimized BaNdSi structure (PBE-GGA).

```
6
Lattice="5.027 0.000 0.000 0.000 5.027 0.000 0.000 0.000 8.143" Properties=species:S:1:pos:R:3 pbc="T T T"
Ba 1.257 1.257 1.082
Ba 3.770 3.770 7.060
Nd 1.257 3.770 4.071
Nd 3.770 1.257 4.071
Si 1.257 1.257 5.840
Si 3.770 3.770 2.303
```

Results
ΔE_f (raw), eV/atom: -0.36
DOS at the Fermi energy, states/eV per cell: 5.6
SG: P4/nmm
Crystal system: tetragonal
M_tot, μB/cell: 1.26
DFT total energy, eV/atom: -4.402


Entry from the Alexandria database: a geometry-optimized ZnNiAg structure (PBE-GGA).

```
3
Lattice="0.000 2.965 2.965 2.965 0.000 2.965 2.965 2.965 0.000" Properties=species:S:1:pos:R:3 pbc="T T T"
Zn 0.000 0.000 0.000
Ni 2.965 2.965 2.965
Ag 4.447 4.447 4.447
```

Results
DOS at the Fermi energy, states/eV per cell: 2.1
Formation enthalpy at 0 K, eV per atom: 0.43
SG: F-43m
Crystal system: cubic
M_tot, μB/cell: 0.00
DFT total energy, eV/atom: -2.876


Entry from the Alexandria database: a geometry-optimized CaAl2Ir structure (PBE-GGA).

```
4
Lattice="4.061 0.000 0.000 0.000 4.061 0.000 0.000 0.000 4.328" Properties=species:S:1:pos:R:3 pbc="T T T"
Ca 0.000 0.000 0.000
Al 0.000 2.031 2.164
Al 2.031 0.000 2.164
Ir 2.031 2.031 0.000
```

Results
DOS at the Fermi energy, states/eV per cell: 1.9
Formation enthalpy at 0 K, eV per atom: -0.22
SG: P4/mmm
Crystal system: tetragonal
M_tot, μB/cell: 0.00
DFT total energy, eV/atom: -4.812


Entry from the Alexandria database: a geometry-optimized Ti3AlGa5 structure (PBE-GGA).

```
18
Lattice="-3.895 3.895 5.209 3.895 -3.895 5.209 3.895 3.895 -5.209" Properties=species:S:1:pos:R:3 pbc="T T T"
Ti 4.745 0.850 0.000
Ti 0.000 0.000 2.605
Ti 0.850 3.046 0.000
Ti 3.046 0.850 5.209
Ti 0.000 0.000 7.814
Ti -0.850 3.046 5.209
Al 3.895 0.000 2.605
Al 0.000 3.895 2.605
Ga 0.000 0.000 0.000
Ga 2.361 1.535 -1.409
Ga 2.361 -1.535 3.800
Ga 2.361 1.535 1.409
Ga 2.361 -1.535 6.618
Ga 0.000 0.000 5.209
Ga 1.535 5.430 -1.409
Ga 1.535 2.361 3.800
Ga 1.535 5.430 1.409
Ga 1.535 2.361 6.618
```

Results
DOS at the Fermi energy, states/eV per cell: 11.9
Formation enthalpy at 0 K, eV per atom: -0.02
SG: I4/mcm
Crystal system: tetragonal
M_tot, μB/cell: 0.00
DFT total energy, eV/atom: -4.751


Entry from the Alexandria database: a geometry-optimized RbNpZnS4 structure (PBE-GGA).

```
14
Lattice="6.385 0.000 0.000 0.000 6.740 0.000 -0.930 0.000 8.574" Properties=species:S:1:pos:R:3 pbc="T T T"
Rb 1.339 1.685 0.483
Rb 4.115 5.055 8.091
Np 0.744 5.055 3.863
Np 4.711 1.685 4.711
Zn 1.592 1.685 5.639
Zn 3.863 5.055 2.935
S -0.005 3.417 5.914
S -0.005 6.692 5.914
S 2.028 5.055 1.575
S 2.461 1.685 3.511
S 2.994 5.055 5.063
S 3.427 1.685 7.000
S 5.459 0.047 2.660
S 5.459 3.323 2.660
```

Results
ΔE_f (raw), eV/atom: -1.00
DOS at the Fermi energy, states/eV per cell: 9.9
SG: P2_1/m
Crystal system: monoclinic
M_tot, μB/cell: 4.00
DFT total energy, eV/atom: -5.528


Entry from the Alexandria database: a geometry-optimized Y2ReP structure (PBE-GGA).

```
8
Lattice="-3.766 3.766 3.189 3.766 -3.766 3.189 3.766 3.766 -3.189" Properties=species:S:1:pos:R:3 pbc="T T T"
Y 1.883 1.806 -0.797
Y 1.960 -1.883 3.986
Y 1.883 1.960 2.392
Y 1.806 5.648 0.797
Re 3.766 0.000 1.595
Re 0.000 0.000 3.189
P 0.000 0.000 0.000
P 0.000 3.766 1.595
```

Results
DOS at the Fermi energy, states/eV per cell: 8.1
Formation enthalpy at 0 K, eV per atom: 0.25
SG: I-42d
Crystal system: tetragonal
M_tot, μB/cell: 0.83
DFT total energy, eV/atom: -7.449


Entry from the Alexandria database: a geometry-optimized TaCr2Si structure (PBE-GGA).

```
4
Lattice="2.804 0.000 0.000 0.000 4.127 0.000 -0.970 0.000 4.733" Properties=species:S:1:pos:R:3 pbc="T T T"
Ta 0.000 0.000 0.000
Cr 0.856 0.000 2.315
Cr 1.767 2.064 1.435
Si 0.416 2.064 3.609
```

Results
ΔE_f (raw), eV/atom: -0.07
DOS at the Fermi energy, states/eV per cell: 4.0
SG: Pm
Crystal system: monoclinic
M_tot, μB/cell: 0.63
DFT total energy, eV/atom: -9.198


Entry from the Alexandria database: a geometry-optimized Ba5Tl4Cd structure (PBE-GGA).

```
10
Lattice="4.282 0.000 0.000 0.000 4.282 0.000 0.000 0.000 21.540" Properties=species:S:1:pos:R:3 pbc="T T T"
Ba 0.000 0.000 0.000
Ba 0.000 0.000 4.319
Ba 0.000 0.000 8.614
Ba 0.000 0.000 12.927
Ba 0.000 0.000 17.221
Tl 2.141 2.141 2.184
Tl 2.141 2.141 6.456
Tl 2.141 2.141 15.085
Tl 2.141 2.141 19.356
Cd 2.141 2.141 10.770
```

Results
DOS at the Fermi energy, states/eV per cell: 7.5
Formation enthalpy at 0 K, eV per atom: -0.39
SG: P4/mmm
Crystal system: tetragonal
M_tot, μB/cell: 0.00
DFT total energy, eV/atom: -2.389


Entry from the Alexandria database: a geometry-optimized PaNbCrN3 structure (PBE-GGA).

```
12
Lattice="6.911 0.000 0.000 0.000 3.083 0.000 -1.487 0.000 7.180" Properties=species:S:1:pos:R:3 pbc="T T T"
Pa 0.941 0.771 1.432
Pa 4.484 2.312 5.748
Nb 1.146 2.312 6.140
Nb 4.278 0.771 1.040
Cr -0.114 0.771 4.308
Cr 5.538 2.312 2.871
N -0.460 0.771 6.239
N 0.588 2.312 3.287
N 2.681 2.312 1.127
N 2.743 0.771 6.053
N 4.836 0.771 3.893
N 5.885 2.312 0.941
```

Results
ΔE_f (raw), eV/atom: -1.06
DOS at the Fermi energy, states/eV per cell: 5.7
SG: P2_1/m
Crystal system: monoclinic
M_tot, μB/cell: 0.00
DFT total energy, eV/atom: -10.085


Entry from the Alexandria database: a geometry-optimized LiScIn4 structure (PBE-GGA).

```
6
Lattice="4.512 0.000 0.000 0.000 4.512 0.000 0.000 0.000 7.409" Properties=species:S:1:pos:R:3 pbc="T T T"
Li 0.000 0.000 0.000
Sc 2.256 2.256 3.704
In 0.000 2.256 1.637
In 0.000 2.256 5.772
In 2.256 0.000 1.637
In 2.256 0.000 5.772
```

Results
DOS at the Fermi energy, states/eV per cell: 4.4
Formation enthalpy at 0 K, eV per atom: -0.05
SG: P4/mmm
Crystal system: tetragonal
M_tot, μB/cell: 0.00
DFT total energy, eV/atom: -3.253


Entry from the Alexandria database: a geometry-optimized Tb3Th2 structure (PBE-GGA).

```
10
Lattice="0.000 5.838 8.664 3.159 0.000 8.664 3.159 5.838 0.000" Properties=species:S:1:pos:R:3 pbc="T T T"
Tb 0.790 1.460 0.427
Tb 0.790 1.460 3.905
Tb 2.369 4.379 6.498
Tb 3.949 7.298 10.830
Tb 5.528 10.217 13.423
Tb 5.528 10.217 16.901
Th 2.369 4.379 2.985
Th 3.949 7.298 7.317
Th 2.369 4.379 10.011
Th 3.949 7.298 14.343
```

Results
DOS at the Fermi energy, states/eV per cell: 16.7
Formation enthalpy at 0 K, eV per atom: 0.14
SG: Fddd
Crystal system: orthorhombic
M_tot, μB/cell: 0.00
DFT total energy, eV/atom: -5.605


Entry from the Alexandria database: a geometry-optimized SrGa structure (PBE-GGA).

```
8
Lattice="6.528 0.000 0.000 0.000 6.528 0.000 0.000 0.000 6.449" Properties=species:S:1:pos:R:3 pbc="T T T"
Sr 1.222 1.222 0.000
Sr 2.042 4.485 3.224
Sr 4.485 2.042 3.224
Sr 5.306 5.306 0.000
Ga 0.908 0.908 3.224
Ga 2.356 4.171 0.000
Ga 4.171 2.356 0.000
Ga 5.620 5.620 3.224
```

Results
DOS at the Fermi energy, states/eV per cell: 7.8
Formation enthalpy at 0 K, eV per atom: -0.16
SG: P4_2/mnm
Crystal system: tetragonal
M_tot, μB/cell: 0.00
DFT total energy, eV/atom: -2.519


Entry from the Alexandria database: a geometry-optimized Ni2OsAu structure (PBE-GGA).

```
4
Lattice="4.491 0.000 0.000 0.000 4.491 0.000 0.000 0.000 2.701" Properties=species:S:1:pos:R:3 pbc="T T T"
Ni 0.000 2.245 0.000
Ni 2.245 0.000 0.000
Os 0.000 0.000 1.351
Au 2.245 2.245 1.351
```

Results
DOS at the Fermi energy, states/eV per cell: 5.0
Formation enthalpy at 0 K, eV per atom: 0.37
SG: P4/mmm
Crystal system: tetragonal
M_tot, μB/cell: 1.41
DFT total energy, eV/atom: -6.148


Entry from the Alexandria database: a geometry-optimized Mn2ZnPt structure (PBE-GGA).

```
4
Lattice="4.512 -1.409 0.000 4.512 1.409 0.000 -0.942 0.000 4.546" Properties=species:S:1:pos:R:3 pbc="T T T"
Mn 0.000 0.000 0.000
Mn 1.524 0.000 3.350
Zn 6.544 0.000 1.059
Pt 4.008 0.000 2.256
```

Results
DOS at the Fermi energy, states/eV per cell: 3.4
Formation enthalpy at 0 K, eV per atom: -0.13
SG: Cm
Crystal system: monoclinic
M_tot, μB/cell: 7.24
DFT total energy, eV/atom: -6.540